Record 1
## K3HS2O8 (PBE)

Data for a relaxed K3HS2O8 crystal.

Unit cell a=8.0743 b=8.0743 c=9.8871 alpha=77.10 beta=77.10 gamma=42.37
Positions (direct):
K (0.4108, 0.9689, 0.3476)
K (0.5893, 0.0311, 0.6524)
K (0.9689, 0.4108, 0.8476)
K (0.7555, 0.2445, 0.2500)
K (0.2445, 0.7555, 0.7500)
K (0.0311, 0.5893, 0.1524)
O (0.6339, 0.6729, 0.0934)
O (0.3110, 0.6676, 0.4421)
O (0.8084, 0.9387, 0.8915)
O (0.1074, 0.5863, 0.6173)
O (0.3271, 0.3661, 0.4066)
O (0.6676, 0.3110, 0.9421)
O (0.5863, 0.1074, 0.1173)
O (0.8926, 0.4137, 0.3827)
O (0.6729, 0.6339, 0.5934)
O (0.3661, 0.3271, 0.9066)
O (0.4137, 0.8926, 0.8827)
O (0.1916, 0.0613, 0.1085)
O (0.3324, 0.6890, 0.0579)
O (0.9387, 0.8084, 0.3915)
O (0.0613, 0.1916, 0.6085)
O (0.6890, 0.3324, 0.5579)
H (0.5000, 0.5000, 0.0000)
H (0.5000, 0.5000, 0.5000)
S (0.1639, 0.6054, 0.4646)
S (0.8361, 0.3946, 0.5354)
S (0.3946, 0.8361, 0.0354)
S (0.6054, 0.1639, 0.9646)

- electronic total energy (eV per atom) = -5.619
- volume (Å³ per cell) = 421.8

---

Record 2
## CaPbW2 (PBE)

Data for a relaxed CaPbW2 crystal.

Unit cell a=5.6902 b=5.6902 c=5.6902 alpha=142.80 beta=127.36 gamma=66.21
Positions (direct):
W (0.7846, 0.2846, 0.5000)
W (0.9670, 0.9670, 0.0000)
Pb (0.2341, 0.7341, 0.5000)
Ca (0.5142, 0.5142, 0.0000)

- volume (Å³ per cell) = 87.3
- energy of formation from the pure elements (eV/atom) = 0.75

---

Record 3
## Ca2SmPd9 (PBE)

Data for a relaxed Ca2SmPd9 crystal.

Unit cell a=4.1575 b=4.1575 c=12.3650 alpha=90.00 beta=90.00 gamma=90.00
Positions (direct):
Pd (0.5000, 0.5000, 0.6658)
Pd (0.5000, 0.0000, 0.8328)
Pd (0.5000, 0.5000, 0.0000)
Pd (0.5000, 0.0000, 0.1672)
Pd (0.5000, 0.5000, 0.3342)
Pd (0.0000, 0.5000, 0.8328)
Pd (0.0000, 0.5000, 0.1672)
Pd (0.5000, 0.0000, 0.5000)
Pd (0.0000, 0.5000, 0.5000)
Ca (0.0000, 0.0000, 0.6651)
Ca (0.0000, 0.0000, 0.3349)
Sm (0.0000, 0.0000, 0.0000)

- volume (Å³ per cell) = 213.7
- energy of formation from the pure elements (eV/atom) = -0.60

---

Record 4
## Zr2TcNi (PBE)

Data for a relaxed Zr2TcNi crystal.

Unit cell a=8.1709 b=8.1709 c=8.1709 alpha=22.89 beta=22.89 gamma=22.89
Positions (direct):
Zr (0.5022, 0.5022, 0.5022)
Zr (0.9978, 0.9978, 0.9978)
Ni (0.2500, 0.2500, 0.2500)
Tc (0.7500, 0.7500, 0.7500)

- volume (Å³ per cell) = 72.4
- energy of formation from the pure elements (eV/atom) = -0.06

---

Record 5
## Rb8Hg (PBE)

Data for a relaxed Rb8Hg crystal.

Unit cell a=5.1744 b=12.0319 c=12.0319 alpha=87.35 beta=77.58 gamma=77.58
Positions (direct):
Rb (0.6380, 0.0000, 0.7241)
Rb (0.0000, 0.6679, 0.3321)
Rb (0.0000, 0.3321, 0.6679)
Rb (0.3321, 0.6679, 0.6679)
Rb (0.3620, 0.0000, 0.2759)
Rb (0.3620, 0.2759, 0.0000)
Rb (0.6679, 0.3321, 0.3321)
Rb (0.6380, 0.7241, 0.0000)
Hg (0.0000, 0.0000, 0.0000)

- volume (Å³ per cell) = 714.5
- energy of formation from the pure elements (eV/atom) = -0.02

---

Record 6
## BaLiNpS4 (PBE)

Data for a relaxed BaLiNpS4 crystal.

Unit cell a=6.8771 b=5.4945 c=8.8278 alpha=90.00 beta=107.33 gamma=90.00
Each line ends with the local moment (μB).
Positions (direct):
S (0.4531, 0.7500, 0.1510)  -0.06
S (0.0217, 0.9812, 0.7113)  -0.04
S (0.5469, 0.2500, 0.8490)  -0.06
S (0.9783, 0.4812, 0.2887)  -0.04
S (0.5664, 0.2500, 0.4158)  -0.11
S (0.4336, 0.7500, 0.5842)  -0.11
S (0.0217, 0.5188, 0.7113)  -0.04
S (0.9783, 0.0188, 0.2887)  -0.04
Np (0.2654, 0.2500, 0.5625)  3.41
Np (0.7346, 0.7500, 0.4375)  3.41
Li (0.7494, 0.2500, 0.6805)  0.00
Li (0.2506, 0.7500, 0.3195)  0.00
Ba (0.7385, 0.7500, 0.9408)  0.00
Ba (0.2615, 0.2500, 0.0592)  0.00

- volume (Å³ per cell) = 318.4
- formation energy from raw total energies (eV per atom) = -1.375

---

Record 7
## Co2OsRh (PBE)

Data for a relaxed Co2OsRh crystal.

Unit cell a=8.5273 b=8.5273 c=8.5273 alpha=17.97 beta=17.97 gamma=17.97
Each line ends with the local moment (μB).
Positions (direct):
Co (0.9966, 0.9966, 0.9966)  1.79
Co (0.2529, 0.2529, 0.2529)  1.59
Os (0.5031, 0.5031, 0.5031)  0.10
Rh (0.7474, 0.7474, 0.7474)  0.36

- distance to the lowest polymorph of the same formula (kJ/mol of formula units) = 14.8
- volume (Å³ per cell) = 51.5
- energy of formation from the pure elements (eV/atom) = 0.15

---

Record 8
## CaZnCo3 (PBE)

Data for a relaxed CaZnCo3 crystal.

Unit cell a=4.4862 b=4.4862 c=4.4862 alpha=90.00 beta=90.00 gamma=90.00
Each line ends with the local moment (μB).
Positions (direct):
Co (0.0000, 0.0000, 0.5000)  1.55
Co (0.5000, 0.0000, 0.0000)  1.34
Co (0.0000, 0.5000, 0.0000)  1.64
Ca (0.5000, 0.5000, 0.5000)  -0.08
Zn (0.0000, 0.0000, 0.0000)  -0.08

- distance to the lowest polymorph of the same formula (kJ/mol of formula units) = 0.0
- volume (Å³ per cell) = 90.3
- energy of formation from the pure elements (eV/atom) = 0.77

---

Record 9
## ZrSnTeI2 (PBE)

Data for a relaxed ZrSnTeI2 crystal.

Unit cell a=5.8779 b=5.8779 c=5.8673 alpha=90.00 beta=90.00 gamma=90.00
Each line ends with the local moment (μB).
Positions (direct):
I (0.5000, 0.0000, 0.0000)  -0.01
I (0.0000, 0.5000, 0.0000)  -0.01
Te (0.0000, 0.0000, 0.5000)  -0.06
Zr (0.5000, 0.5000, 0.5000)  1.62
Sn (0.0000, 0.0000, 0.0000)  0.00

- distance to the lowest polymorph of the same formula (kJ/mol of formula units) = 316.6
- volume (Å³ per cell) = 202.7
- formation energy from raw total energies (eV per atom) = 0.543

---

Record 10
## Nd4DyBi2 (PBE)

Data for a relaxed Nd4DyBi2 crystal.

Unit cell a=5.4810 b=5.4810 c=9.4775 alpha=106.81 beta=106.81 gamma=90.00
Positions (direct):
Bi (0.3657, 0.3657, 0.7313)
Bi (0.6343, 0.6343, 0.2687)
Nd (0.0000, 0.5000, 0.0000)
Nd (0.8180, 0.8180, 0.6361)
Nd (0.5000, 0.0000, 0.0000)
Nd (0.1820, 0.1820, 0.3639)
Dy (0.0000, 0.0000, 0.0000)

- volume (Å³ per cell) = 259.8
- energy of formation from the pure elements (eV/atom) = 0.16

---

Computed Fermi-level density of states (states/eV/cell) in order:
0.00; 2.89; 9.81; 3.59; 6.48; 19.88; 5.14; 13.55; 3.53; 7.57
Computed density (g cm⁻³) in order:
2.44; 11.70; 9.23; 7.78; 2.06; 5.31; 13.24; 5.19; 4.84; 7.40